Record 1
PrY2N3 PBE-GGA relaxed; space-group type = P-3m1 (164)
1.0
-2.156 -2.489 -1.267
1.827 -0.588 2.961
-6.507 3.263 4.662
N Pr Y
3 1 2
Cartesian
0.000 0.000 0.000
-1.596 -0.171 3.053
-5.240 0.357 3.303
-3.253 1.631 2.331
-1.877 -1.329 0.894
-4.958 1.515 5.462


Record 2
PrZr2N3 PBE-GGA relaxed; space-group type = P-3m1 (164)
1.0
3.338 0.000 0.000
-1.669 2.891 0.000
0.000 0.000 8.453
N Pr Zr
3 1 2
Cartesian
0.000 0.000 0.000
0.000 1.927 2.522
1.669 0.964 5.931
0.000 0.000 4.226
1.669 0.964 1.349
0.000 1.927 7.104


Record 3
Pr2ZrN3 PBE-GGA relaxed; space-group type = P-3m1 (164)
1.0
-1.399 2.073 2.419
-0.361 -3.451 0.247
7.414 -0.442 4.668
N Pr Zr
3 2 1
Cartesian
0.000 0.000 0.000
1.987 -1.771 2.667
3.667 -0.050 4.666
0.226 0.155 2.500
5.428 -1.976 4.834
3.707 -0.221 2.334


Record 4
Pt2N PBE-GGA relaxed; space-group type = Fd-3m (227)
1.0
-2.791 1.258 4.157
-1.568 4.872 0.679
-4.995 1.199 -0.511
N Pt
2 4
Cartesian
0.000 0.000 0.000
-2.338 1.832 1.081
-3.348 3.981 2.959
-5.062 2.144 2.364
-4.451 3.951 0.625
-5.846 4.580 2.704


Record 5
Pt3N4 PBE-GGA relaxed; space-group type = R-3m (166)
1.0
5.875 -5.836 6.097
7.113 -3.110 6.744
4.616 -4.053 8.247
N Pt
4 3
Cartesian
2.222 -1.641 2.662
6.532 -4.824 7.825
11.071 -8.175 13.263
15.382 -11.358 18.426
0.000 0.000 0.000
4.219 -3.115 5.054
13.385 -9.884 16.034


Record 6
PtN2 PBE-GGA relaxed; space-group type = P-6m2 (187)
1.0
-1.069 -2.927 -0.624
2.520 1.139 -1.566
2.354 -1.444 2.738
N Pt
2 1
Cartesian
2.136 -0.715 -0.307
2.865 -1.162 0.541
0.000 0.000 0.000


| no. | M_tot (μB per atom) | E (eV per atom) |
| --- | --- | --- |
| 1 | 0.00 | -8.645 |
| 2 | 0.00 | -9.371 |
| 3 | 0.00 | -8.589 |
| 4 | 0.00 | -4.509 |
| 5 | 0.00 | -6.125 |
| 6 | 0.00 | -6.653 |